Below is crystalline Rb2ErCu3F12 at its relaxed geometry, with properties calculated at the GGA-PBE level.

## Properties
The value obtained for the total magnetization is 10.6 Bohr magnetons per cell. The calculation puts the raw formation energy at -231.0 kJ per mole of atoms.

Unit cell a=7.4381 b=7.4381 c=18.3261 alpha=90.00 beta=90.00 gamma=120.00
Space group R-3m (No. 166, hexagonal axes)
One atom of each set of equivalent atoms:
Rb  0.0000  0.0000  0.1123 (multiplicity 6)
Er  0.0000  0.0000  0.5000 (multiplicity 3)
Cu  0.0000  0.5000  0.0000 (multiplicity 9)
F  0.0393  0.5197  0.1088 (multiplicity 18)
F  0.0732  0.5366  0.3425 (multiplicity 18)